Sr2CrSnF | GGA+U | optimized geometry

Its total DFT energy (no corrections) is -3.70 eV per atom. For the total magnetization, the calculation gives 1.83 μB per cell. The crystal system is tetragonal. As for the space group: No. 123. The calculated volume comes out at 138 Å³/cell. The density of states at the Fermi level comes out at 0.70 states/eV/atom.

a = 5.101 Å, b = 5.290 Å, c = 5.101 Å
α = 90.00°, β = 90.00°, γ = 90.00°
Element x y z (fractional)
Sr  0.000  0.000  0.500
Sr  0.500  0.000  0.000
Cr  0.500  0.500  0.500
Sn  0.000  0.500  0.000
F  0.000  0.000  0.000